Density functional theory data (PBE) for a geometry-optimized ThIr2Pt structure.

The space group is P4/mmm (No. 123) and the conventional cell measures 4.207, 4.207 and 4.119 Å, with angles of 90.00, 90.00 and 90.00 degrees. The asymmetric unit holds Th at (0.000, 0.000, 0.000), Ir at (0.000, 0.500, 0.500) and Pt at (0.500, 0.500, 0.000).

For the formation energy, the calculation gives -286 kJ/mol of formula units. The crystal system is tetragonal.

---

Density functional theory data (PBE) for a geometry-optimized CaPr2BeO5 structure.

The space group is Pna2_1 (No. 33) and the conventional cell measures 9.576, 6.568 and 7.258 Å, with angles of 90.00, 90.00 and 90.00 degrees. The asymmetric unit holds Ca at (0.178, 0.078, 0.000), Pr at (0.023, 0.598, 0.766), Pr at (0.171, 0.073, 0.548), Be at (0.105, 0.807, 0.268), O at (0.013, 0.019, 0.271), O at (0.071, 0.688, 0.078), O at (0.075, 0.693, 0.461), O at (0.223, 0.360, 0.769) and O at (0.227, 0.333, 0.269).

The offset from the most stable computed form is 0.00 eV/f.u. The crystal system is orthorhombic. The calculation puts the raw formation energy at -3.0990 eV per atom.

---

Density functional theory data (PBE) for a geometry-optimized CrReSbS2 structure.

The space group is P4/mmm (No. 123) and the conventional cell measures 5.142, 5.142 and 5.133 Å, with angles of 90.00, 90.00 and 90.00 degrees. The asymmetric unit holds Cr at (0.000, 0.000, 0.000), Re at (0.500, 0.500, 0.000), Sb at (0.000, 0.000, 0.500) and S at (0.000, 0.500, 0.500).

The crystal system is tetragonal. The calculation puts the raw formation energy at 1.8508 eV per atom.